# 1
## CdMoCl3 (GGA-PBE)

Data for a relaxed CdMoCl3 crystal.

Calculated values
Formation energy from raw total energies = 0.13 eV per atom
ρ = 3.77 g/cm³
Magnetic moment = 5.0 μB/f.u.
Density of states at the Fermi level = 3.00 states/eV/cell
Offset from the most stable computed form = 421.1 meV per atom
E = -16.65 eV for the cell shown

Cell lengths 5.1749, 5.1749, 5.1749 Å; angles 90.00, 90.00, 90.00 degrees
With the nearest neighbours (Å) after each atom.
Element x y z (fractional)
Cd: 0.0000 0.0000 0.0000  6 Cl 2.59
Mo: 0.5000 0.5000 0.5000  12 Cl 3.66
Cl: 0.0000 0.0000 0.5000  2 Cd 2.59
Cl: 0.0000 0.5000 0.0000  2 Cd 2.59
Cl: 0.5000 0.0000 0.0000  2 Cd 2.59

=====

# 2
## SrEuGa (GGA-PBE)

Data for a relaxed SrEuGa crystal.

Calculated values
ρ = 4.58 g/cm³
Energy relative to the elements = -186 meV/atom
Magnetic moment = 7.4 μB/f.u.
Density of states at the Fermi level = 9.86 states/eV/cell
Offset from the most stable computed form = 116.0 meV per atom
E = -15.54 eV for the cell shown

Cell lengths 5.4112, 5.4112, 5.4112 Å; angles 60.00, 60.00, 60.00 degrees
With the nearest neighbours (Å) after each atom.
Element x y z (fractional)
Sr: 0.0000 0.0000 0.0000  4 Ga 3.31
Eu: 0.5000 0.5000 0.5000  4 Ga 3.31
Ga: 0.7500 0.7500 0.7500  4 Eu 3.31, 4 Sr 3.31